# 1
The following is a GGA-PBE calculation of a relaxed Er2Cd5Au crystal, from Alexandria.

Values from the calculation:
**Calculated formation energy**: -149 meV/atom
**Energy**: -2.27 eV/atom
**Symmetry**: R-3m (166)
**Density**: 8.87 g/cm3

Cell and atoms, written as POSCAR:
```
Er2Cd5Au
1.0
-2.3201 -2.9586 2.8564
-1.4957 -4.1706 -1.6321
7.9223 -6.8022 3.2918
Er Cd Au
2 5 1
direct
0.0909 0.0909 0.7272
0.9091 0.9091 0.2728
0.5000 0.5000 0.5000
0.3651 0.3651 0.9046
0.6349 0.6349 0.0954
0.1977 0.1977 0.4070
0.8023 0.8023 0.5930
0.0000 0.0000 0.0000
```

=====

# 2
The following is a GGA-PBE calculation of a relaxed ErCd6Au crystal, from Alexandria.

Values from the calculation:
**Calculated formation energy**: -172 meV/atom
**Energy**: -1.84 eV/atom
**Symmetry**: Amm2 (38)
**Density**: 9.49 g/cm3

Cell and atoms, written as POSCAR:
```
ErCd6Au
1.0
-0.7254 -2.3800 -4.1724
5.4394 -2.4143 0.4316
-5.1214 -3.6353 2.9640
Er Cd Au
1 6 1
direct
0.5000 0.6949 0.3897
0.5000 0.6714 0.8605
0.5000 0.1891 0.8605
0.0000 0.8230 0.1602
0.0000 0.3371 0.1602
0.0000 0.2946 0.5892
0.0000 0.8543 0.7086
0.5000 0.1355 0.2710
```

=====

# 3
The following is a GGA-PBE calculation of a relaxed ErCd3Au12 crystal, from Alexandria.

Values from the calculation:
**Calculated formation energy**: -237 meV/atom
**Energy**: -3.15 eV/atom
**Symmetry**: P4/mmm (123)
**Density**: 15.68 g/cm3

Cell and atoms, written as POSCAR:
```
ErCd3Au12
1.0
-1.4762 3.9834 0.2238
-0.1486 -0.2934 4.2413
15.7265 5.7748 0.9502
Er Cd Au
1 3 12
direct
0.0000 0.0000 0.0000
0.0000 0.0000 0.2539
0.0000 0.0000 0.5000
0.0000 0.0000 0.7461
0.5000 0.5000 0.0000
0.5000 0.5000 0.2526
0.5000 0.5000 0.5000
0.5000 0.5000 0.7474
0.5000 0.0000 0.1273
0.5000 0.0000 0.3763
0.5000 0.0000 0.6237
0.5000 0.0000 0.8727
0.0000 0.5000 0.1273
0.0000 0.5000 0.3763
0.0000 0.5000 0.6237
0.0000 0.5000 0.8727
```

=====

# 4
The following is a GGA-PBE calculation of a relaxed Er2CdAu crystal, from Alexandria.

Values from the calculation:
**Calculated formation energy**: -600 meV/atom
**Energy**: -3.93 eV/atom
**Symmetry**: P4/mmm (123)
**Density**: 11.12 g/cm3

Cell and atoms, written as POSCAR:
```
Er2CdAu
1.0
-2.2173 2.5348 -1.4174
1.3684 -0.6611 -3.3229
-5.0507 -5.0223 -1.0807
Cd Au Er
1 1 2
direct
0.5000 0.5000 0.5000
0.5000 0.5000 0.0000
0.0000 0.0000 0.7631
0.0000 0.0000 0.2369
```

=====

# 5
The following is a GGA-PBE calculation of a relaxed Er3Cd2Au3 crystal, from Alexandria.

Values from the calculation:
**Calculated formation energy**: -672 meV/atom
**Energy**: -3.84 eV/atom
**Symmetry**: P6_3/mcm (193)
**Density**: 11.70 g/cm3

Cell and atoms, written as POSCAR:
```
Er3Cd2Au3
1.0
5.7894 0.0000 0.0000
0.0000 7.4803 -4.3188
0.0000 0.0000 8.6375
Er Cd Au
6 4 6
direct
0.7500 0.2782 0.0000
0.7500 0.7218 0.7218
0.7500 0.0000 0.2782
0.2500 0.7218 0.0000
0.2500 0.2782 0.2782
0.2500 0.0000 0.7218
0.0000 0.3333 0.6667
0.5000 0.6667 0.3333
0.0000 0.6667 0.3333
0.5000 0.3333 0.6667
0.7500 0.6251 0.0000
0.7500 0.3749 0.3749
0.7500 0.0000 0.6251
0.2500 0.3749 0.0000
0.2500 0.6251 0.6251
0.2500 0.0000 0.3749
```

=====

# 6
The following is a GGA-PBE calculation of a relaxed ErCd2Au5 crystal, from Alexandria.

Values from the calculation:
**Calculated formation energy**: -403 meV/atom
**Energy**: -3.25 eV/atom
**Symmetry**: I4/mmm (139)
**Density**: 14.46 g/cm3

Cell and atoms, written as POSCAR:
```
ErCd2Au5
1.0
-1.8774 -3.8934 1.4904
2.1112 -2.2974 -3.3421
5.8294 1.9638 5.4601
Er Cd Au
1 2 5
direct
0.0000 0.0000 0.0000
0.7479 0.7479 0.4959
0.2521 0.2521 0.5041
0.5000 0.5000 0.0000
0.8737 0.3737 0.7473
0.3737 0.8737 0.7473
0.1263 0.6263 0.2527
0.6263 0.1263 0.2527
```

=====

# 7
The following is a GGA-PBE calculation of a relaxed Er4CdAu crystal, from Alexandria.

Values from the calculation:
**Calculated formation energy**: -434 meV/atom
**Energy**: -4.17 eV/atom
**Symmetry**: F-43m (216)
**Density**: 10.12 g/cm3

Cell and atoms, written as POSCAR:
```
Er4CdAu
1.0
-7.4120 -4.2687 -4.5426
0.1927 -9.5366 -1.6767
-5.9269 -5.8968 4.8881
Er Cd Au
16 4 4
direct
0.3907 0.3907 0.3907
0.8278 0.3907 0.3907
0.3907 0.8278 0.3907
0.3907 0.3907 0.8278
0.5617 0.5617 0.9383
0.9383 0.9383 0.5617
0.5617 0.9383 0.5617
0.9383 0.5617 0.9383
0.9383 0.5617 0.5617
0.5617 0.9383 0.9383
0.1842 0.1842 0.8158
0.8158 0.8158 0.1842
0.1842 0.8158 0.1842
0.8158 0.1842 0.8158
0.8158 0.1842 0.1842
0.1842 0.8158 0.8158
0.1668 0.1668 0.1668
0.4996 0.1668 0.1668
0.1668 0.4996 0.1668
0.1668 0.1668 0.4996
0.6033 0.6033 0.6033
0.1902 0.6033 0.6033
0.6033 0.1902 0.6033
0.6033 0.6033 0.1902
```

=====

# 8
The following is a GGA-PBE calculation of a relaxed Er2CdAu3 crystal, from Alexandria.

Values from the calculation:
**Calculated formation energy**: -705 meV/atom
**Energy**: -4.02 eV/atom
**Symmetry**: P4/mmm (123)
**Density**: 13.19 g/cm3

Cell and atoms, written as POSCAR:
```
Er2CdAu3
1.0
3.5466 0.0000 0.0000
0.0000 3.5466 0.0000
0.0000 0.0000 10.3837
Er Cd Au
2 1 3
direct
0.5000 0.5000 0.8245
0.5000 0.5000 0.1755
0.5000 0.5000 0.5000
0.0000 0.0000 0.0000
0.0000 0.0000 0.6668
0.0000 0.0000 0.3332
```

=====

# 9
The following is a GGA-PBE calculation of a relaxed Er4CdAu2 crystal, from Alexandria.

Values from the calculation:
**Calculated formation energy**: -528 meV/atom
**Energy**: -4.20 eV/atom
**Symmetry**: R-3m (166)
**Density**: 10.86 g/cm3

Cell and atoms, written as POSCAR:
```
Er4CdAu2
1.0
4.8130 0.0000 1.5037
2.1716 4.2953 1.5037
-0.0654 -0.0402 8.6639
Cd Au Er
1 2 4
direct
0.0000 0.0000 0.0000
0.7496 0.7496 0.7513
0.2504 0.2504 0.2487
0.8708 0.8708 0.3876
0.1292 0.1292 0.6124
0.6186 0.6186 0.1442
0.3814 0.3814 0.8558
```

=====

# 10
The following is a GGA-PBE calculation of a relaxed Er4CdAu3 crystal, from Alexandria.

Values from the calculation:
**Calculated formation energy**: -733 meV/atom
**Energy**: -4.36 eV/atom
**Symmetry**: Pmmm (47)
**Density**: 12.19 g/cm3

Cell and atoms, written as POSCAR:
```
Er4CdAu3
1.0
3.6069 0.0000 0.0000
0.0000 5.0855 0.0000
0.0000 0.0000 10.1891
Cd Au Er
1 3 4
direct
0.5000 0.5000 0.0000
0.5000 0.0000 0.2401
0.5000 0.5000 0.5000
0.5000 0.0000 0.7599
0.0000 0.0000 0.5000
0.0000 0.5000 0.7400
0.0000 0.0000 0.0000
0.0000 0.5000 0.2600
```

=====

# 11
The following is a GGA-PBE calculation of a relaxed ErCd2Au8 crystal, from Alexandria.

Values from the calculation:
**Calculated formation energy**: -334 meV/atom
**Energy**: -3.30 eV/atom
**Symmetry**: C2/m (12)
**Density**: 15.52 g/cm3

Cell and atoms, written as POSCAR:
```
ErCd2Au8
1.0
-1.2201 0.0281 -4.0941
-6.2032 -1.8969 1.8356
0.5610 7.5846 2.1138
Er Cd Au
1 2 8
direct
0.5000 0.0000 0.0000
0.7755 0.3526 0.5510
0.2245 0.6474 0.4490
0.4049 0.5442 0.8098
0.6808 0.9118 0.3616
0.8628 0.8129 0.7257
0.9574 0.2751 0.9148
0.1372 0.1871 0.2743
0.3192 0.0882 0.6384
0.5951 0.4558 0.1902
0.0426 0.7249 0.0852
```

=====

# 12
The following is a GGA-PBE calculation of a relaxed ErCd2Au crystal, from Alexandria.

Values from the calculation:
**Calculated formation energy**: -345 meV/atom
**Energy**: -2.76 eV/atom
**Symmetry**: Fm-3m (225)
**Density**: 11.49 g/cm3

Cell and atoms, written as POSCAR:
```
ErCd2Au
1.0
4.9379 0.0000 0.0000
2.4690 4.2764 0.0000
2.4690 1.4255 4.0318
Cd Au Er
2 1 1
direct
0.2500 0.2500 0.2500
0.7500 0.7500 0.7500
0.5000 0.5000 0.5000
0.0000 0.0000 0.0000
```

=====

# 13
The following is a GGA-PBE calculation of a relaxed Er2Cd2Au3 crystal, from Alexandria.

Values from the calculation:
**Calculated formation energy**: -610 meV/atom
**Energy**: -3.58 eV/atom
**Symmetry**: P-1 (2)
**Density**: 12.11 g/cm3

Cell and atoms, written as POSCAR:
```
Er2Cd2Au3
1.0
4.7250 -0.0826 -1.6564
-2.6122 4.3015 0.0077
-0.8076 -0.4646 8.2299
Er Cd Au
2 2 3
direct
0.8173 0.4081 0.1654
0.1827 0.5919 0.8346
0.3468 0.1731 0.3948
0.6532 0.8269 0.6052
0.0000 0.0000 0.0000
0.4453 0.2242 0.7605
0.5547 0.7758 0.2395
```

=====

# 14
The following is a GGA-PBE calculation of a relaxed ErCd11Au crystal, from Alexandria.

Values from the calculation:
**Calculated formation energy**: -92 meV/atom
**Energy**: -1.47 eV/atom
**Symmetry**: C2/m (12)
**Density**: 9.17 g/cm3

Cell and atoms, written as POSCAR:
```
ErCd11Au
1.0
5.4241 0.0513 2.2598
2.6564 7.0330 1.1067
0.0038 0.0257 7.6305
Er Cd Au
1 11 1
direct
0.0000 0.0000 0.0000
0.2934 0.2125 0.2097
0.7066 0.7875 0.7903
0.4969 0.7875 0.2097
0.5031 0.2125 0.7903
0.3551 0.6477 0.6536
0.6449 0.3523 0.3464
0.9912 0.3523 0.6536
0.0088 0.6477 0.3464
0.0000 0.5000 0.0000
0.5000 0.0000 0.5000
0.0000 0.0000 0.5000
0.5000 0.5000 0.0000
```

=====

# 15
The following is a GGA-PBE calculation of a relaxed Er4CdAu crystal, from Alexandria.

Values from the calculation:
**Calculated formation energy**: -146 meV/atom
**Energy**: -3.89 eV/atom
**Symmetry**: P2_1/c (14)
**Density**: 8.90 g/cm3

Cell and atoms, written as POSCAR:
```
Er4CdAu
1.0
6.8881 0.0000 -0.2282
0.0000 7.3233 0.0000
-0.3317 0.0000 7.2513
Er Cd Au
8 2 2
direct
0.8877 0.6487 0.1603
0.6123 0.1487 0.8397
0.3204 0.3329 0.3370
0.1796 0.8329 0.6630
0.1123 0.3513 0.8397
0.3877 0.8513 0.1603
0.6796 0.6671 0.6630
0.8204 0.1671 0.3370
0.0000 0.0000 0.0000
0.5000 0.5000 0.0000
0.5000 0.0000 0.5000
0.0000 0.5000 0.5000
```

=====

# 16
The following is a GGA-PBE calculation of a relaxed Er6Cd3Au crystal, from Alexandria.

Values from the calculation:
**Calculated formation energy**: -327 meV/atom
**Energy**: -3.67 eV/atom
**Symmetry**: P2_1/m (11)
**Density**: 9.76 g/cm3

Cell and atoms, written as POSCAR:
```
Er6Cd3Au
1.0
-5.1102 -0.3010 0.8732
0.1729 -9.0406 -2.1047
1.8457 1.5119 11.3230
Er Cd Au
12 6 2
direct
0.2500 0.4704 0.0904
0.7500 0.5296 0.9096
0.2500 0.1251 0.1534
0.7500 0.8749 0.8466
0.2500 0.6618 0.6803
0.7500 0.3382 0.3197
0.2500 0.2504 0.4896
0.7500 0.7496 0.5104
0.2500 0.8646 0.3382
0.7500 0.1354 0.6618
0.2500 0.1120 0.8639
0.7500 0.8880 0.1361
0.2500 0.5313 0.3761
0.7500 0.4687 0.6239
0.2500 0.3868 0.7772
0.7500 0.6132 0.2228
0.2500 0.7682 0.9766
0.7500 0.2318 0.0234
0.2500 0.9281 0.6090
0.7500 0.0719 0.3910
```

=====

# 17
The following is a GGA-PBE calculation of a relaxed Er2Cd3Au crystal, from Alexandria.

Values from the calculation:
**Calculated formation energy**: -429 meV/atom
**Energy**: -2.95 eV/atom
**Symmetry**: Pmm2 (25)
**Density**: 10.30 g/cm3

Cell and atoms, written as POSCAR:
```
Er2Cd3Au
1.0
3.4015 0.0000 0.0000
0.0000 4.8836 0.0000
0.0000 0.0000 8.4342
Er Cd Au
2 3 1
direct
0.0000 0.5000 0.0239
0.0000 0.0000 0.4810
0.5000 0.0000 0.8296
0.5000 0.0000 0.1635
0.5000 0.5000 0.6677
0.5000 0.5000 0.3345
```

=====

# 18
The following is a GGA-PBE calculation of a relaxed Er4CdAu5 crystal, from Alexandria.

Values from the calculation:
**Calculated formation energy**: -776 meV/atom
**Energy**: -4.33 eV/atom
**Symmetry**: P4/mmm (123)
**Density**: 13.24 g/cm3

Cell and atoms, written as POSCAR:
```
Er4CdAu5
1.0
3.5366 0.0000 0.0000
0.0000 3.5366 0.0000
0.0000 0.0000 17.7166
Er Cd Au
4 1 5
direct
0.0000 0.0000 0.1915
0.0000 0.0000 0.3977
0.0000 0.0000 0.6023
0.0000 0.0000 0.8085
0.0000 0.0000 0.0000
0.5000 0.5000 0.0988
0.5000 0.5000 0.2972
0.5000 0.5000 0.5000
0.5000 0.5000 0.7028
0.5000 0.5000 0.9012
```

=====

# 19
The following is a GGA-PBE calculation of a relaxed Er2CdAu6 crystal, from Alexandria.

Values from the calculation:
**Calculated formation energy**: -529 meV/atom
**Energy**: -3.83 eV/atom
**Symmetry**: C2/m (12)
**Density**: 14.26 g/cm3

Cell and atoms, written as POSCAR:
```
Er2CdAu6
1.0
-2.1693 5.4111 0.7643
-1.4589 -1.6646 7.6442
4.4971 1.9905 -2.8508
Er Cd Au
2 1 6
direct
0.6634 0.6794 0.3589
0.3366 0.3206 0.6411
0.0000 0.0000 0.0000
0.1582 0.4857 0.3134
0.8418 0.1723 0.6866
0.8418 0.5143 0.6866
0.5000 0.1739 0.0000
0.1582 0.8277 0.3134
0.5000 0.8261 0.0000
```

=====

# 20
The following is a GGA-PBE calculation of a relaxed Er2CdAu crystal, from Alexandria.

Values from the calculation:
**Calculated formation energy**: -571 meV/atom
**Energy**: -3.90 eV/atom
**Symmetry**: Fm-3m (225)
**Density**: 11.13 g/cm3

Cell and atoms, written as POSCAR:
```
Er2CdAu
1.0
-1.4025 -4.0593 2.8248
-2.4685 -3.9345 -2.2023
2.3878 -4.5100 -0.6183
Cd Au Er
1 1 2
direct
0.0000 0.0000 0.0000
0.5000 0.5000 0.5000
0.2500 0.2500 0.2500
0.7500 0.7500 0.7500
```